1.
A plane-wave DFT calculation with PBE-GGA was carried out for a relaxed Dy6TlZn2 crystal.

Output
The space group is I4/mmm, No. 139. The calculation puts the density of states at the Fermi level at 12.69 states/eV/cell. The calculation puts the formation enthalpy at 0 K at 0.0102 eV/atom.

The structure in POSCAR format:
```
Dy6TlZn2
1.0
4.991 0.000 0.000
0.000 4.991 0.000
-2.496 -2.496 10.809
Dy Zn Tl
6 2 1
direct
0.410 0.910 0.820
0.090 0.590 0.180
0.250 0.750 0.500
0.910 0.410 0.820
0.590 0.090 0.180
0.750 0.250 0.500
0.668 0.668 0.336
0.332 0.332 0.664
0.000 0.000 0.000
```

---

2.
A plane-wave DFT calculation with PBE-GGA was carried out for a relaxed BaCrTe2 crystal.

Output
The space group is P2/m, No. 10. The calculation puts the density of states at the Fermi level at 0.22 states/eV/cell. The uncorrected formation energy comes out at -742 meV/atom.

The structure in POSCAR format:
```
BaCrTe2
1.0
-3.357 -2.087 -0.916
2.186 -1.974 -3.514
2.525 -5.894 4.174
Te Cr Ba
2 1 1
direct
0.000 0.716 0.509
0.000 0.784 0.991
0.500 0.750 0.750
0.500 0.250 0.250
```

---

3.
A plane-wave DFT calculation with PBE-GGA was carried out for a relaxed Ti9ZnIn2 crystal.

Output
The space group is P4/mmm, No. 123. The calculation puts the density of states at the Fermi level at 14.45 states/eV/cell. The calculation puts the formation enthalpy at 0 K at -0.1100 eV/atom.

The structure in POSCAR format:
```
Ti9ZnIn2
1.0
4.120 0.000 0.000
0.000 4.120 0.000
0.000 0.000 12.306
Ti Zn In
9 1 2
direct
0.500 0.500 0.671
0.000 0.500 0.500
0.000 0.500 0.842
0.500 0.000 0.500
0.000 0.500 0.158
0.500 0.500 0.000
0.500 0.000 0.842
0.500 0.500 0.329
0.500 0.000 0.158
0.000 0.000 0.000
0.000 0.000 0.671
0.000 0.000 0.329
```

---

4.
A plane-wave DFT calculation with PBE-GGA was carried out for a relaxed CdCo2Rh2 crystal.

Output
The space group is P4/mbm, No. 127. The calculation puts the density of states at the Fermi level at 10.04 states/eV/cell. The calculation puts the formation enthalpy at 0 K at 0.1239 eV/atom.

The structure in POSCAR format:
```
CdCo2Rh2
1.0
7.225 0.000 0.000
0.000 7.225 0.000
0.000 0.000 2.777
Rh Co Cd
4 4 2
direct
0.827 0.327 0.500
0.327 0.173 0.500
0.173 0.673 0.500
0.673 0.827 0.500
0.618 0.118 0.000
0.118 0.382 0.000
0.882 0.618 0.000
0.382 0.882 0.000
0.000 0.000 0.000
0.500 0.500 0.000
```

---

5.
A plane-wave DFT calculation with PBE-GGA was carried out for a relaxed SrEuCdSn crystal.

Output
The space group is F-43m, No. 216. The calculation puts the density of states at the Fermi level at 8.69 states/eV/cell. The calculation puts the formation enthalpy at 0 K at -0.5576 eV/atom.

The structure in POSCAR format:
```
SrEuCdSn
1.0
-3.539 -2.510 3.614
1.097 -5.216 1.862
1.553 -0.813 5.368
Sr Eu Cd Sn
1 1 1 1
direct
0.000 0.000 0.000
0.500 0.500 0.500
0.750 0.750 0.750
0.250 0.250 0.250
```

---

6.
A plane-wave DFT calculation with PBE-GGA was carried out for a relaxed NaB3Cl crystal.

Output
The space group is Pm-3m, No. 221. The calculation puts the density of states at the Fermi level at 4.25 states/eV/cell. The uncorrected formation energy comes out at 2721 meV/atom.

The structure in POSCAR format:
```
NaB3Cl
1.0
-4.242 -0.675 -2.088
0.502 -4.722 0.508
-2.136 0.232 4.265
Cl B Na
1 3 1
direct
0.500 0.500 0.500
0.000 0.500 0.000
0.500 0.000 0.000
0.000 0.000 0.500
0.000 0.000 0.000
```

---

7.
A plane-wave DFT calculation with PBE-GGA was carried out for a relaxed Ce3Nd4HfN8 crystal.

Output
The space group is R-3m, No. 166. The calculation puts the density of states at the Fermi level at 6.63 states/eV/cell. The uncorrected formation energy comes out at -1482 meV/atom.

The structure in POSCAR format:
```
Ce3Nd4HfN8
1.0
-0.935 -3.340 6.188
-3.972 -4.930 -3.261
6.557 1.367 -2.337
N Nd Ce Hf
8 4 3 1
direct
0.242 0.278 0.010
0.232 0.722 0.990
0.255 0.266 0.511
0.768 0.278 0.010
0.232 0.722 0.464
0.745 0.734 0.489
0.768 0.278 0.536
0.758 0.722 0.990
0.000 0.000 0.500
0.500 0.000 0.000
0.500 0.000 0.500
0.000 0.000 0.000
0.000 0.500 0.500
0.500 0.500 0.500
0.500 0.500 0.000
0.000 0.500 0.000
```

---

8.
A plane-wave DFT calculation with PBE-GGA was carried out for a relaxed Tb4Bi2SbPb crystal.

Output
The space group is P2/m, No. 10. The calculation puts the density of states at the Fermi level at 3.48 states/eV/cell. The uncorrected formation energy comes out at -811 meV/atom.

The structure in POSCAR format:
```
Tb4Bi2SbPb
1.0
-3.076 -0.405 -3.153
1.297 -7.611 -0.288
-4.713 -3.574 5.058
Bi Tb Sb Pb
2 4 1 1
direct
0.000 0.000 0.000
0.500 0.000 0.500
0.000 0.253 0.252
0.500 0.744 0.254
0.000 0.747 0.748
0.500 0.256 0.746
0.000 0.500 0.500
0.500 0.500 0.000
```

---

What final energy values result from the calculations? In sequence: -32.43, -20.80, -79.12, -58.42, -19.10, -9.59, -137.13, -40.60 eV/cell.